VASP calculation (PBE) on a relaxed structure of HoEr4Sc2.

POSCAR file:
```
HoEr4Sc2
1.0
-6.7230 6.4978 -5.7597
-6.9089 3.2948 1.3157
-3.7294 8.9045 3.9396
Sc Er Ho
4 8 2
Direct
0.5000 0.0000 0.5000
0.0000 0.0000 0.5000
0.0000 0.5000 0.5000
0.0000 0.0000 0.0000
0.7227 0.2989 0.2556
0.7227 0.8100 0.7446
0.7220 0.7446 0.2554
0.2779 0.7444 0.2556
0.2773 0.7011 0.7444
0.7221 0.2556 0.7444
0.2773 0.1900 0.2554
0.2780 0.2554 0.7446
0.5000 0.5000 0.0000
0.0000 0.5000 0.0000
```

Computed properties:
Final energy   -68.0 eV/cell
ΔE_f   0.22 eV/atom